Entry 1:
DFT (PBE) results for a relaxed Tb2YCd2 crystal.

Geometry as POSCAR:
```
Tb2YCd2
1.0
5.1903 0.0000 0.0000
-2.5952 4.4950 0.0000
0.0000 0.0000 6.3986
Tb Y Cd
2 1 2
Direct
0.3333 0.6667 0.1505 Tb
0.6667 0.3333 0.8495 Tb
0.0000 0.0000 0.5000 Y
0.3333 0.6667 0.6537 Cd
0.6667 0.3333 0.3463 Cd
```

The energy above the most stable polymorph in this dataset comes out at 186 meV per atom. The total magnetization comes out at 0.23 μB/f.u. Its density of states at the Fermi level is 6.33 states/eV per cell. As for the space-group type: P-3m1, No. 164.

---

Entry 2:
DFT (PBE) results for a relaxed TbY4Cd2 crystal.

Geometry as POSCAR:
```
TbY4Cd2
1.0
2.5683 1.4828 10.1350
-2.5683 1.4828 10.1350
0.0000 -2.9656 10.1350
Tb Y Cd
1 4 2
Direct
0.0000 0.0000 0.0000 Tb
0.2038 0.2038 0.2038 Y
0.3923 0.3923 0.3923 Y
0.6077 0.6077 0.6077 Y
0.7962 0.7962 0.7962 Y
0.1003 0.1003 0.1003 Cd
0.8997 0.8997 0.8997 Cd
```

The total magnetization comes out at 0.01 μB/f.u. Its density of states at the Fermi level is 9.82 states/eV per cell. As for the space-group type: R-3m, No. 166.

---

no.,ΔH_f (0 K) (eV per atom)
1,-0.08
2,0.19